No. 1
Here is VAgB2Pb after structural relaxation from the Alexandria database. Energies are from PBE.

Cell: 4.070 4.070 5.410 Å, 90.00 90.00 90.00°
Positions (direct):
V  0.000  0.000  0.000
Ag  0.000  0.000  0.500
B  0.000  0.500  0.500
B  0.500  0.000  0.500
Pb  0.500  0.500  0.000

Properties
- ρ (g cm⁻³) = 7.18
- total magnetization (μB per formula unit) = 0.000
- energy of formation from the pure elements (meV per atom) = 1626
- V (Å³ per cell) = 89.6

---

No. 2
Here is Tm5Rh3 after structural relaxation from the Alexandria database. Energies are from PBE.

Cell: 8.160 8.160 6.191 Å, 90.00 90.00 120.00°
Positions (direct):
Tm  0.000  0.252  0.250
Tm  0.000  0.748  0.750
Tm  0.252  0.000  0.250
Tm  0.252  0.252  0.750
Tm  0.333  0.667  0.000
Tm  0.333  0.667  0.500
Tm  0.667  0.333  0.000
Tm  0.667  0.333  0.500
Tm  0.748  0.000  0.750
Tm  0.748  0.748  0.250
Rh  0.000  0.397  0.750
Rh  0.000  0.603  0.250
Rh  0.397  0.000  0.750
Rh  0.397  0.397  0.250
Rh  0.603  0.000  0.250
Rh  0.603  0.603  0.750

Properties
- energy above the most stable polymorph in this dataset (eV per atom) = 0.028
- ρ (g cm⁻³) = 10.73
- total magnetization (μB per formula unit) = 0.000
- energy of formation from the pure elements (meV per atom) = -784
- V (Å³ per cell) = 357.0

---

No. 3
Here is Pm12PrIn3 after structural relaxation from the Alexandria database. Energies are from PBE.

Cell: 4.976 4.976 20.379 Å, 90.00 90.00 90.00°
Positions (direct):
Pm  0.000  0.000  0.000
Pm  0.000  0.000  0.243
Pm  0.000  0.000  0.500
Pm  0.000  0.000  0.757
Pm  0.000  0.500  0.122
Pm  0.000  0.500  0.367
Pm  0.000  0.500  0.633
Pm  0.000  0.500  0.878
Pm  0.500  0.000  0.122
Pm  0.500  0.000  0.367
Pm  0.500  0.000  0.633
Pm  0.500  0.000  0.878
Pr  0.500  0.500  0.500
In  0.500  0.500  0.000
In  0.500  0.500  0.243
In  0.500  0.500  0.757

Properties
- ρ (g cm⁻³) = 7.32
- total magnetization (μB per formula unit) = 0.000
- energy of formation from the pure elements (meV per atom) = -194
- V (Å³ per cell) = 504.5